The following is a GGA-PBE calculation of crystalline Sr2Mg6Zn3 at its relaxed geometry, from Alexandria.

Cell and atoms, written as CIF:
```
data_Sr2Mg6Zn3
_chemical_formula_sum 'Sr2 Mg6 Zn3'
_cell_length_a 8.4933
_cell_length_b 8.4933
_cell_length_c 4.5903
_cell_angle_alpha 90.00
_cell_angle_beta 90.00
_cell_angle_gamma 120.00
_space_group_name_H-M_alt 'P -6 2 m'
_space_group_IT_number 189
_space_group_name_Hall 'P -6 -2'
loop_
_atom_site_label
_atom_site_type_symbol
_atom_site_fract_x
_atom_site_fract_y
_atom_site_fract_z
_atom_site_occupancy
Sr1 Sr 0.3333 0.6667 0.0000 1
Mg1 Mg 0.0000 0.2834 0.5000 1
Mg2 Mg 0.0000 0.7938 0.0000 1
Zn1 Zn 0.0000 0.6111 0.5000 1
```

Properties
Formation enthalpy at 0 K   -0.08 eV/atom
Crystal system   hexagonal
DOS at the Fermi energy   8.95 states/eV/f.u.

---

The following is a GGA-PBE calculation of crystalline SrMgZn2 at its relaxed geometry, from Alexandria.

Cell and atoms, written as CIF:
```
data_SrMgZn2
_chemical_formula_sum 'Sr4 Mg4 Zn8'
_cell_length_a 8.148
_cell_length_b 4.470
_cell_length_c 11.067
_cell_angle_alpha 90.00
_cell_angle_beta 90.00
_cell_angle_gamma 90.00
_space_group_name_H-M_alt 'P n m a'
_space_group_IT_number 62
loop_
_space_group_symop_operation_xyz
'x,y,z'
'-x,-y,-z'
'-x+1/2,-y,z+1/2'
'x+1/2,y,-z+1/2'
'x+1/2,-y+1/2,-z+1/2'
'-x+1/2,y+1/2,z+1/2'
'-x,y+1/2,-z'
'x,-y+1/2,z'
loop_
_atom_site_label
_atom_site_type_symbol
_atom_site_fract_x
_atom_site_fract_y
_atom_site_fract_z
_atom_site_occupancy
Sr1 Sr 0.150 0.250 0.140 1
Mg1 Mg 0.012 0.750 0.397 1
Zn1 Zn 0.156 0.250 0.829 1
Zn2 Zn 0.243 0.250 0.427 1
```

Properties
Formation enthalpy at 0 K   -0.19 eV/atom
Crystal system   orthorhombic
DOS at the Fermi energy   2.45 states/eV/f.u.

---

The following is a GGA-PBE calculation of crystalline SrMgZn2 at its relaxed geometry, from Alexandria.

Cell and atoms, written as CIF:
```
data_SrMgZn2
_chemical_formula_sum 'Sr2 Mg2 Zn4'
_cell_length_a 4.013
_cell_length_b 5.293
_cell_length_c 9.293
_cell_angle_alpha 90.00
_cell_angle_beta 90.00
_cell_angle_gamma 90.00
_space_group_name_H-M_alt 'I m m 2'
_space_group_IT_number 44
loop_
_space_group_symop_operation_xyz
'x,y,z'
'-x,-y,z'
'-x,y,z'
'x,-y,z'
'x+1/2,y+1/2,z+1/2'
'-x+1/2,-y+1/2,z+1/2'
'-x+1/2,y+1/2,z+1/2'
'x+1/2,-y+1/2,z+1/2'
loop_
_atom_site_label
_atom_site_type_symbol
_atom_site_fract_x
_atom_site_fract_y
_atom_site_fract_z
_atom_site_occupancy
Sr1 Sr 0.000 0.000 0.000 1
Mg1 Mg 0.000 0.500 0.207 1
Zn1 Zn 0.000 0.000 0.457 1
Zn2 Zn 0.000 0.500 0.779 1
```

Properties
Formation enthalpy at 0 K   -0.04 eV/atom
Crystal system   orthorhombic
DOS at the Fermi energy   1.92 states/eV/f.u.

---

The following is a GGA-PBE calculation of crystalline SrMg2Zn2 at its relaxed geometry, from Alexandria.

Cell and atoms, written as CIF:
```
data_SrMg2Zn2
_chemical_formula_sum 'Sr2 Mg4 Zn4'
_cell_length_a 11.380
_cell_length_b 4.376
_cell_length_c 5.302
_cell_angle_alpha 90.00
_cell_angle_beta 105.47
_cell_angle_gamma 90.00
_space_group_name_H-M_alt 'C 1 2/m 1'
_space_group_IT_number 12
loop_
_space_group_symop_operation_xyz
'x,y,z'
'-x,-y,-z'
'-x,y,-z'
'x,-y,z'
'x+1/2,y+1/2,z'
'-x+1/2,-y+1/2,-z'
'-x+1/2,y+1/2,-z'
'x+1/2,-y+1/2,z'
loop_
_atom_site_label
_atom_site_type_symbol
_atom_site_fract_x
_atom_site_fract_y
_atom_site_fract_z
_atom_site_occupancy
Sr1 Sr 0.000 0.000 0.000 1
Mg1 Mg 0.152 0.500 0.570 1
Zn1 Zn 0.231 0.500 0.118 1
```

Properties
Excess energy over the best structure of this formula in the dataset   0.0360 eV per atom
Formation enthalpy at 0 K   -0.15 eV/atom
Crystal system   monoclinic
DOS at the Fermi energy   3.22 states/eV/f.u.

---

The following is a GGA-PBE calculation of crystalline SrMg2Zn2 at its relaxed geometry, from Alexandria.

Cell and atoms, written as CIF:
```
data_SrMg2Zn2
_chemical_formula_sum 'Sr4 Mg8 Zn8'
_cell_length_a 4.615
_cell_length_b 4.615
_cell_length_c 23.421
_cell_angle_alpha 90.00
_cell_angle_beta 90.00
_cell_angle_gamma 90.00
_space_group_name_H-M_alt 'I 4/m m m'
_space_group_IT_number 139
_space_group_name_Hall '-I 4 2'
loop_
_atom_site_label
_atom_site_type_symbol
_atom_site_fract_x
_atom_site_fract_y
_atom_site_fract_z
_atom_site_occupancy
Sr1 Sr 0.000 0.000 0.129 1
Mg1 Mg 0.000 0.000 0.312 1
Mg2 Mg 0.000 0.500 0.000 1
Zn1 Zn 0.000 0.000 0.429 1
Zn2 Zn 0.000 0.500 0.250 1
```

Properties
Excess energy over the best structure of this formula in the dataset   0.0622 eV per atom
Formation enthalpy at 0 K   -0.12 eV/atom
Crystal system   tetragonal
DOS at the Fermi energy   3.09 states/eV/f.u.

---

The following is a GGA-PBE calculation of crystalline Sr3MgZn at its relaxed geometry, from Alexandria.

Cell and atoms, written as CIF:
```
data_Sr3MgZn
_chemical_formula_sum 'Sr3 Mg1 Zn1'
_cell_length_a 6.104
_cell_length_b 6.104
_cell_length_c 6.104
_cell_angle_alpha 90.00
_cell_angle_beta 90.00
_cell_angle_gamma 90.00
_space_group_name_H-M_alt 'P m -3 m'
_space_group_IT_number 221
_space_group_name_Hall '-P 4 2 3'
loop_
_atom_site_label
_atom_site_type_symbol
_atom_site_fract_x
_atom_site_fract_y
_atom_site_fract_z
_atom_site_occupancy
Sr1 Sr 0.000 0.000 0.500 1
Mg1 Mg 0.500 0.500 0.500 1
Zn1 Zn 0.000 0.000 0.000 1
```

Properties
Excess energy over the best structure of this formula in the dataset   0.1732 eV per atom
Formation enthalpy at 0 K   0.10 eV/atom
Crystal system   cubic
DOS at the Fermi energy   5.74 states/eV/f.u.

---

The following is a GGA-PBE calculation of crystalline Sr4Mg3Zn at its relaxed geometry, from Alexandria.

Cell and atoms, written as CIF:
```
data_Sr4Mg3Zn
_chemical_formula_sum 'Sr4 Mg3 Zn1'
_cell_length_a 4.012
_cell_length_b 4.012
_cell_length_c 17.249
_cell_angle_alpha 90.00
_cell_angle_beta 90.00
_cell_angle_gamma 90.00
_space_group_name_H-M_alt 'P 4/m m m'
_space_group_IT_number 123
_space_group_name_Hall '-P 4 2'
loop_
_atom_site_label
_atom_site_type_symbol
_atom_site_fract_x
_atom_site_fract_y
_atom_site_fract_z
_atom_site_occupancy
Sr1 Sr 0.000 0.000 0.111 1
Sr2 Sr 0.000 0.000 0.371 1
Mg1 Mg 0.500 0.500 0.242 1
Mg2 Mg 0.500 0.500 0.500 1
Zn1 Zn 0.500 0.500 0.000 1
```

Properties
Formation enthalpy at 0 K   -0.08 eV/atom
Crystal system   tetragonal
DOS at the Fermi energy   7.04 states/eV/f.u.

---

The following is a GGA-PBE calculation of crystalline Sr8Mg2Zn at its relaxed geometry, from Alexandria.

Cell and atoms, written as CIF:
```
data_Sr8Mg2Zn
_chemical_formula_sum 'Sr16 Mg4 Zn2'
_cell_length_a 20.860
_cell_length_b 6.004
_cell_length_c 8.030
_cell_angle_alpha 90.00
_cell_angle_beta 108.04
_cell_angle_gamma 90.00
_space_group_name_H-M_alt 'C 1 2/m 1'
_space_group_IT_number 12
loop_
_space_group_symop_operation_xyz
'x,y,z'
'-x,-y,-z'
'-x,y,-z'
'x,-y,z'
'x+1/2,y+1/2,z'
'-x+1/2,-y+1/2,-z'
'-x+1/2,y+1/2,-z'
'x+1/2,-y+1/2,z'
loop_
_atom_site_label
_atom_site_type_symbol
_atom_site_fract_x
_atom_site_fract_y
_atom_site_fract_z
_atom_site_occupancy
Sr1 Sr 0.023 0.000 0.286 1
Sr2 Sr 0.093 0.500 0.934 1
Sr3 Sr 0.154 0.500 0.460 1
Sr4 Sr 0.205 0.000 0.798 1
Mg1 Mg 0.182 0.000 0.217 1
Zn1 Zn 0.000 0.500 0.500 1
```

Properties
Formation enthalpy at 0 K   -0.02 eV/atom
Crystal system   monoclinic
DOS at the Fermi energy   14.38 states/eV/f.u.